1.
A plane-wave DFT calculation with PBE was carried out for crystalline Pa2Si4RuRh3 at its relaxed geometry.

Results
Electronic total energy, eV per atom: -8.148
E_form (uncorrected), eV per atom: -0.946

abc: 4.1359 4.1359 9.7253
angles: 90.00 90.00 90.00
Fractional positions:
1 Pa 0.5000 0.0000 0.2531
2 Pa 0.0000 0.5000 0.7469
3 Si 0.5000 0.5000 0.0000
4 Si 0.0000 0.0000 0.0000
5 Si 0.5000 0.0000 0.6304
6 Si 0.0000 0.5000 0.3696
7 Ru 0.5000 0.5000 0.5000
8 Rh 0.0000 0.0000 0.5000
9 Rh 0.5000 0.0000 0.8746
10 Rh 0.0000 0.5000 0.1254

---

2.
A plane-wave DFT calculation with PBE was carried out for crystalline UPaRuRh at its relaxed geometry.

Results
Electronic total energy, eV per atom: -9.791

abc: 4.6557 4.6557 4.6557
angles: 60.00 60.00 60.00
Fractional positions:
1 Rh 0.2500 0.2500 0.2500
2 Pa 0.7500 0.7500 0.7500
3 U 0.5000 0.5000 0.5000
4 Ru 0.0000 0.0000 0.0000

---

3.
A plane-wave DFT calculation with PBE was carried out for crystalline UPaRu2Rh4 at its relaxed geometry.

Results
Electronic total energy, eV per atom: -8.472

abc: 5.7438 5.7438 5.7438
angles: 120.98 104.04 104.04
Site moments in Bohr magnetons follow the coordinates.
Fractional positions:
1 U 0.0000 0.0000 0.0000  0.68
2 Pa 0.0000 0.5000 0.5000  0.30
3 Ru 0.5000 0.7500 0.2500  -0.06
4 Ru 0.5000 0.2500 0.7500  -0.06
5 Rh 0.0000 0.2421 0.7577  -0.03
6 Rh 0.4844 0.2423 0.2423  -0.03
7 Rh 0.5156 0.7579 0.7579  -0.03
8 Rh 0.0000 0.7577 0.2421  -0.03

---

4.
A plane-wave DFT calculation with PBE was carried out for crystalline ZrPaRuRh at its relaxed geometry.

Results
Electronic total energy, eV per atom: -9.184

abc: 4.7609 4.7609 4.7609
angles: 60.00 60.00 60.00
Fractional positions:
1 Ru 0.7500 0.7500 0.7500
2 Pa 0.5000 0.5000 0.5000
3 Rh 0.2500 0.2500 0.2500
4 Zr 0.0000 0.0000 0.0000

---

5.
A plane-wave DFT calculation with PBE was carried out for crystalline PaRhS at its relaxed geometry.

Results
Electronic total energy, eV per atom: -8.087
E_form (uncorrected), eV per atom: -1.096

abc: 3.5959 4.1669 4.1669
angles: 120.00 90.00 90.00
Fractional positions:
1 S 0.8332 0.3333 0.6667
2 Pa 0.3333 0.6667 0.3333
3 Rh 0.8335 0.0000 0.0000

---

6.
A plane-wave DFT calculation with PBE was carried out for crystalline PaRhS3 at its relaxed geometry.

Results
Electronic total energy, eV per atom: -6.847
E_form (uncorrected), eV per atom: -1.001

abc: 7.1677 7.1677 5.8291
angles: 52.06 52.06 60.00
Site moments in Bohr magnetons follow the coordinates.
Fractional positions:
1 Pa 0.7500 0.7500 0.7500  0.38
2 Pa 0.2500 0.2500 0.2500  0.38
3 Rh 0.0000 0.0000 0.0000  0.01
4 Rh 0.5000 0.5000 0.5000  0.01
5 S 0.2500 0.6340 0.2500  -0.01
6 S 0.3660 0.1340 0.7500  -0.01
7 S 0.1340 0.7500 0.7500  -0.01
8 S 0.8660 0.2500 0.2500  -0.01
9 S 0.6340 0.8660 0.2500  -0.01
10 S 0.7500 0.3660 0.7500  -0.01

---

7.
A plane-wave DFT calculation with PBE was carried out for crystalline Pa3Rh5S12 at its relaxed geometry.

Results
Electronic total energy, eV per atom: -6.625
E_form (uncorrected), eV per atom: -0.887

abc: 12.7143 12.7143 12.7143
angles: 109.47 109.47 109.47
Fractional positions:
1 Pa 0.7500 0.3750 0.1250
2 Pa 0.8750 0.7500 0.1250
3 Pa 0.3750 0.7500 0.6250
4 Pa 0.2500 0.1250 0.3750
5 Pa 0.8750 0.1250 0.2500
6 Pa 0.3750 0.6250 0.2500
7 Pa 0.6250 0.3750 0.7500
8 Pa 0.1250 0.8750 0.7500
9 Pa 0.7500 0.8750 0.6250
10 Pa 0.6250 0.2500 0.3750
11 Pa 0.1250 0.2500 0.8750
12 Pa 0.2500 0.6250 0.8750
13 Rh 0.1250 0.3750 0.2500
14 Rh 0.0000 0.5000 0.0000
15 Rh 0.0000 0.0000 0.0000
16 Rh 0.3750 0.2500 0.1250
17 Rh 0.5000 0.0000 0.5000
18 Rh 0.5000 0.5000 0.0000
19 Rh 0.1250 0.7500 0.3750
20 Rh 0.7500 0.1250 0.8750
21 Rh 0.7500 0.6250 0.3750
22 Rh 0.3750 0.1250 0.7500
23 Rh 0.6250 0.8750 0.2500
24 Rh 0.5000 0.5000 0.5000
25 Rh 0.5000 0.0000 0.0000
26 Rh 0.0000 0.0000 0.5000
27 Rh 0.2500 0.3750 0.6250
28 Rh 0.2500 0.8750 0.1250
29 Rh 0.0000 0.5000 0.5000
30 Rh 0.8750 0.2500 0.6250
31 Rh 0.6250 0.7500 0.8750
32 Rh 0.8750 0.6250 0.7500
33 S 0.7100 0.1241 0.0372
34 S 0.3273 0.5372 0.4132
35 S 0.9628 0.3759 0.2900
36 S 0.5372 0.2100 0.1241
37 S 0.5859 0.7100 0.6727
38 S 0.9628 0.5868 0.1727
39 S 0.3273 0.7900 0.4141
40 S 0.0868 0.9141 0.1241
41 S 0.5868 0.9628 0.6727
42 S 0.7100 0.5859 0.1727
43 S 0.7900 0.4628 0.3759
44 S 0.8273 0.9132 0.0372
45 S 0.1241 0.7100 0.5372
46 S 0.3759 0.4132 0.0859
47 S 0.0859 0.9132 0.3759
48 S 0.4141 0.1241 0.5868
49 S 0.0859 0.1727 0.2100
50 S 0.4628 0.6727 0.0868
51 S 0.8273 0.9141 0.2900
52 S 0.1241 0.4141 0.0868
53 S 0.3759 0.9628 0.7900
54 S 0.5868 0.6241 0.4141
55 S 0.9132 0.8273 0.5372
56 S 0.7900 0.3273 0.9141
57 S 0.4132 0.3759 0.5859
58 S 0.0868 0.1727 0.4628
59 S 0.2100 0.6727 0.0859
60 S 0.1727 0.0859 0.7100
61 S 0.6241 0.0372 0.2100
62 S 0.8759 0.5859 0.9132
63 S 0.5372 0.3273 0.9132
64 S 0.5859 0.8759 0.4132
65 S 0.9141 0.8273 0.7900
66 S 0.9141 0.0868 0.6241
67 S 0.8759 0.2900 0.4628
68 S 0.1727 0.0868 0.9628
69 S 0.6241 0.5868 0.9141
70 S 0.4132 0.0372 0.3273
71 S 0.2900 0.4141 0.8273
72 S 0.2100 0.5372 0.6241
73 S 0.9132 0.0859 0.8759
74 S 0.6727 0.2100 0.5859
75 S 0.4628 0.7900 0.8759
76 S 0.0372 0.4132 0.8273
77 S 0.4141 0.2900 0.3273
78 S 0.0372 0.6241 0.7100
79 S 0.6727 0.4628 0.5868
80 S 0.2900 0.8759 0.9628

---

8.
A plane-wave DFT calculation with PBE was carried out for crystalline PaRhS2 at its relaxed geometry.

Results
Electronic total energy, eV per atom: -6.573
E_form (uncorrected), eV per atom: -0.297

abc: 3.4799 3.4799 8.2119
angles: 77.77 77.77 60.00
Fractional positions:
1 S 0.1129 0.1129 0.6613
2 S 0.8871 0.8871 0.3387
3 Pa 0.0000 0.0000 0.0000
4 Rh 0.5000 0.5000 0.5000

---

9.
A plane-wave DFT calculation with PBE was carried out for crystalline PaRhS3 at its relaxed geometry.

Results
Electronic total energy, eV per atom: -6.925
E_form (uncorrected), eV per atom: -1.079

abc: 6.8639 6.6497 8.4806
angles: 94.33 90.00 90.00
Fractional positions:
1 Pa 0.7011 0.7048 0.1685
2 Pa 0.2989 0.2952 0.8315
3 Pa 0.2011 0.2952 0.3315
4 Pa 0.7989 0.7048 0.6685
5 Rh 0.2443 0.9147 0.5778
6 Rh 0.7557 0.0853 0.4222
7 Rh 0.7443 0.0853 0.9222
8 Rh 0.2557 0.9147 0.0778
9 S 0.0547 0.9184 0.3294
10 S 0.9453 0.0816 0.6706
11 S 0.5547 0.0816 0.1706
12 S 0.4453 0.9184 0.8294
13 S 0.5402 0.7838 0.4534
14 S 0.4598 0.2162 0.5466
15 S 0.0402 0.2162 0.0466
16 S 0.9598 0.7838 0.9534
17 S 0.1666 0.5642 0.6226
18 S 0.8334 0.4358 0.3774
19 S 0.6666 0.4358 0.8774
20 S 0.3334 0.5642 0.1226

---

10.
A plane-wave DFT calculation with PBE was carried out for crystalline Pa2RhS6 at its relaxed geometry.

Results
Electronic total energy, eV per atom: -6.979
E_form (uncorrected), eV per atom: -1.300

abc: 6.0485 7.0202 8.5208
angles: 90.00 91.66 90.00
Fractional positions:
1 Pa 0.0540 0.6282 0.7517
2 Pa 0.4460 0.1282 0.7483
3 Pa 0.5540 0.8718 0.2517
4 Pa 0.9460 0.3718 0.2483
5 Rh 0.5000 0.5000 0.0000
6 Rh 0.0000 0.0000 0.5000
7 S 0.1452 0.0377 0.2443
8 S 0.1532 0.3176 0.5578
9 S 0.1618 0.3258 0.9442
10 S 0.3382 0.8258 0.5558
11 S 0.3468 0.8176 0.9422
12 S 0.3548 0.5377 0.2557
13 S 0.8548 0.9623 0.7557
14 S 0.8468 0.6824 0.4422
15 S 0.8382 0.6742 0.0558
16 S 0.6618 0.1742 0.4442
17 S 0.6532 0.1824 0.0578
18 S 0.6452 0.4623 0.7443

---

11.
A plane-wave DFT calculation with PBE was carried out for crystalline PaRhS at its relaxed geometry.

Results
Electronic total energy, eV per atom: -7.916
E_form (uncorrected), eV per atom: -0.925

abc: 4.3638 4.3638 8.4193
angles: 74.98 74.98 60.00
Fractional positions:
1 Pa 0.2492 0.2492 0.2525
2 Pa 0.7508 0.7508 0.7475
3 Rh 0.3607 0.3607 0.9179
4 Rh 0.6393 0.6393 0.0821
5 S 0.8723 0.8723 0.3831
6 S 0.1277 0.1277 0.6169

---

12.
A plane-wave DFT calculation with PBE was carried out for crystalline PaSbRhS at its relaxed geometry.

Results
Electronic total energy, eV per atom: -7.248
E_form (uncorrected), eV per atom: -0.974

abc: 4.3405 4.3405 8.6308
angles: 90.00 90.00 90.00
Fractional positions:
1 Pa 0.5000 0.0000 0.7029
2 Pa 0.0000 0.5000 0.2971
3 Sb 0.0000 0.5000 0.8207
4 Sb 0.5000 0.0000 0.1793
5 Rh 0.5000 0.5000 0.0000
6 Rh 0.0000 0.0000 0.0000
7 S 0.0000 0.0000 0.5000
8 S 0.5000 0.5000 0.5000

---

Look up the electronic total energy of the third one.
-8.472 eV per atom

---

Which formula does entry 7 have?
Pa3Rh5S12